The following is a DFT calculation (meta-GGA SCAN) of RbSr3Rh at its PBEsol-relaxed geometry.

Lattice parameters (Å, degrees): 4.402 5.888 9.026 90.00 90.00 90.00
Atoms (fractional coordinates):
Rb  0.000  0.500  0.500
Rh  0.000  0.000  0.000
Sr  0.000  0.500  0.000
Sr  0.500  0.000  0.789
Sr  0.500  0.000  0.211

Size of the total moment ... 0.1 μB per cell
Formation energy from the elements ... -53 kJ/mol of formula units
Relative energy among the computed polymorphs ... 0 meV per atom
Symmetry ... Pmmm (47)
Density of states at the Fermi level ... 4.1 states/eV/cell